The following is a DFT calculation (GGA-PBEsol) of a relaxed structure of LiCdNi4.

Computed properties:
Its formation energy is -0.03 eV/atom. The space group is F-43m (216). The value obtained for the size of the total moment is 0.0 μB per formula unit.

Cell lengths 4.7169, 4.7169, 4.7169 Å; angles 60.00, 60.00, 60.00 degrees
Fractional coordinates of all 6 atoms:
Li1 0.0000 0.0000 0.0000
Cd1 0.7500 0.7500 0.7500
Ni1 0.3747 0.3747 0.3747
Ni2 0.3747 0.3747 0.8758
Ni3 0.3747 0.8758 0.3747
Ni4 0.8758 0.3747 0.3747